# 1
PBE Ag12SI, relaxed; volume = 423.2 Å³ per cell; formation energy (no corrections) = 11.1 eV/f.u.
1.0
7.508 0.000 0.000
0.000 7.508 0.000
0.000 0.000 7.508
Ag S I
12 1 1
direct
0.000 0.250 0.500
0.000 0.500 0.250
0.000 0.500 0.750
0.000 0.750 0.500
0.250 0.000 0.500
0.250 0.500 0.000
0.500 0.000 0.250
0.500 0.000 0.750
0.500 0.250 0.000
0.500 0.750 0.000
0.750 0.000 0.500
0.750 0.500 0.000
0.000 0.000 0.000
0.500 0.500 0.500

# 2
PBE PuGe2, relaxed; energy relative to the elements = -20 kJ per mole of atoms; volume = 135.6 Å³ per cell
1.0
5.810 0.000 0.000
0.000 5.897 0.000
-1.658 0.000 3.959
Pu Ge
2 4
direct
0.000 0.000 0.000
0.500 0.500 0.000
0.125 0.500 0.311
0.375 0.000 0.689
0.625 0.000 0.311
0.875 0.500 0.689

# 3
PBE KLiZrN2, relaxed; volume = 74.3 Å³ per cell; formation energy (no corrections) = 7.8 eV/f.u.
1.0
4.502 0.000 0.000
0.000 4.502 0.000
0.000 0.000 3.665
K Li Zr N
1 1 1 2
direct
0.000 0.000 0.000
0.000 0.000 0.500
0.500 0.500 0.500
0.000 0.500 0.000
0.500 0.000 0.000